--- a ---
VASP calculation (GGA-PBE) on a geometry-optimized BaOs2W structure.

```
data_BaOs2W
_chemical_formula_sum 'Ba2 Os4 W2'
_space_group_name_H-M_alt 'I m m 2'
_space_group_IT_number 44
_cell_length_a 4.707
_cell_length_b 4.726
_cell_length_c 6.667
_cell_angle_alpha 90.00
_cell_angle_beta 90.00
_cell_angle_gamma 90.00
loop_
_space_group_symop_operation_xyz
'x,y,z'
'-x,-y,z'
'-x,y,z'
'x,-y,z'
'x+1/2,y+1/2,z+1/2'
'-x+1/2,-y+1/2,z+1/2'
'-x+1/2,y+1/2,z+1/2'
'x+1/2,-y+1/2,z+1/2'
loop_
_atom_site_label
_atom_site_type_symbol
_atom_site_fract_x
_atom_site_fract_y
_atom_site_fract_z
Ba1 Ba 0.000 0.000 0.000
Os1 Os 0.000 0.000 0.501
Os2 Os 0.000 0.500 0.249
W1 W 0.000 0.500 0.751
```

Results
**V**: 18.5 A^3/atom

--- b ---
VASP calculation (GGA-PBE) on a geometry-optimized BaOs2W structure.

```
data_BaOs2W
_chemical_formula_sum 'Ba1 Os2 W1'
_space_group_name_H-M_alt 'P 1 m 1'
_space_group_IT_number 6
_cell_length_a 3.787
_cell_length_b 4.109
_cell_length_c 6.718
_cell_angle_alpha 90.00
_cell_angle_beta 103.50
_cell_angle_gamma 90.00
loop_
_space_group_symop_operation_xyz
'x,y,z'
'x,-y,z'
loop_
_atom_site_label
_atom_site_type_symbol
_atom_site_fract_x
_atom_site_fract_y
_atom_site_fract_z
Ba1 Ba 0.000 0.000 0.000
Os1 Os 0.632 0.500 0.304
Os2 Os 0.659 0.000 0.510
W1 W 0.220 0.500 0.543
```

Results
**V**: 25.4 A^3/atom

--- c ---
VASP calculation (GGA-PBE) on a geometry-optimized BaOs2W structure.

```
data_BaOs2W
_chemical_formula_sum 'Ba2 Os4 W2'
_space_group_name_H-M_alt 'I m m 2'
_space_group_IT_number 44
_cell_length_a 2.863
_cell_length_b 5.298
_cell_length_c 10.645
_cell_angle_alpha 90.00
_cell_angle_beta 90.00
_cell_angle_gamma 90.00
loop_
_space_group_symop_operation_xyz
'x,y,z'
'-x,-y,z'
'-x,y,z'
'x,-y,z'
'x+1/2,y+1/2,z+1/2'
'-x+1/2,-y+1/2,z+1/2'
'-x+1/2,y+1/2,z+1/2'
'x+1/2,-y+1/2,z+1/2'
loop_
_atom_site_label
_atom_site_type_symbol
_atom_site_fract_x
_atom_site_fract_y
_atom_site_fract_z
Ba1 Ba 0.000 0.000 0.000
Os1 Os 0.000 0.000 0.491
Os2 Os 0.000 0.500 0.788
W1 W 0.000 0.500 0.207
```

Results
**V**: 20.2 A^3/atom

--- d ---
VASP calculation (GGA-PBE) on a geometry-optimized BaOs2W structure.

```
data_BaOs2W
_chemical_formula_sum 'Ba1 Os2 W1'
_space_group_name_H-M_alt 'P m m 2'
_space_group_IT_number 25
_cell_length_a 2.888
_cell_length_b 3.791
_cell_length_c 7.787
_cell_angle_alpha 90.00
_cell_angle_beta 90.00
_cell_angle_gamma 90.00
loop_
_space_group_symop_operation_xyz
'x,y,z'
'-x,-y,z'
'-x,y,z'
'x,-y,z'
loop_
_atom_site_label
_atom_site_type_symbol
_atom_site_fract_x
_atom_site_fract_y
_atom_site_fract_z
Ba1 Ba 0.000 0.000 0.000
Os1 Os 0.000 0.000 0.483
Os2 Os 0.500 0.500 0.321
W1 W 0.500 0.500 0.644
```

Results
**V**: 21.3 A^3/atom

Stability ranking, top entry: d; the second entry is 62 meV per atom less favorable.

--- a ---
VASP calculation (GGA-PBE) on a geometry-optimized BaOs2W structure.

```
data_BaOs2W
_chemical_formula_sum 'Ba4 Os8 W4'
_space_group_name_H-M_alt 'F m -3 m'
_space_group_IT_number 225
_space_group_name_Hall '-F 4 2 3'
_cell_length_a 6.742
_cell_length_b 6.742
_cell_length_c 6.742
_cell_angle_alpha 90.00
_cell_angle_beta 90.00
_cell_angle_gamma 90.00
loop_
_atom_site_label
_atom_site_type_symbol
_atom_site_fract_x
_atom_site_fract_y
_atom_site_fract_z
Ba1 Ba 0.000 0.000 0.000
Os1 Os 0.250 0.250 0.250
W1 W 0.000 0.000 0.500
```

Results
**V**: 19.2 A^3/atom

--- b ---
VASP calculation (GGA-PBE) on a geometry-optimized BaOs2W structure.

```
data_BaOs2W
_chemical_formula_sum 'Ba4 Os8 W4'
_space_group_name_H-M_alt 'I -4 2 d'
_space_group_IT_number 122
_space_group_name_Hall 'I -4 2bw'
_cell_length_a 7.542
_cell_length_b 7.542
_cell_length_c 6.603
_cell_angle_alpha 90.00
_cell_angle_beta 90.00
_cell_angle_gamma 90.00
loop_
_atom_site_label
_atom_site_type_symbol
_atom_site_fract_x
_atom_site_fract_y
_atom_site_fract_z
Ba1 Ba 0.000 0.000 0.000
Os1 Os 0.178 0.250 0.625
W1 W 0.000 0.000 0.500
```

Results
**V**: 23.5 A^3/atom

--- c ---
VASP calculation (GGA-PBE) on a geometry-optimized BaOs2W structure.

```
data_BaOs2W
_chemical_formula_sum 'Ba1 Os2 W1'
_space_group_name_H-M_alt 'P m m m'
_space_group_IT_number 47
_cell_length_a 3.015
_cell_length_b 4.974
_cell_length_c 4.998
_cell_angle_alpha 90.00
_cell_angle_beta 90.00
_cell_angle_gamma 90.00
loop_
_space_group_symop_operation_xyz
'x,y,z'
'-x,-y,-z'
'-x,-y,z'
'x,y,-z'
'x,-y,-z'
'-x,y,z'
'-x,y,-z'
'x,-y,z'
loop_
_atom_site_label
_atom_site_type_symbol
_atom_site_fract_x
_atom_site_fract_y
_atom_site_fract_z
Ba1 Ba 0.000 0.000 0.000
Os1 Os 0.000 0.500 0.500
Os2 Os 0.500 0.000 0.500
W1 W 0.500 0.500 0.000
```

Results
**V**: 18.7 A^3/atom

Stability ranking, top entry: b; the second entry is 209 meV per atom less favorable.

--- a ---
VASP calculation (GGA-PBE) on a geometry-optimized BaOs2W structure.

```
data_BaOs2W
_chemical_formula_sum 'Ba1 Os2 W1'
_space_group_name_H-M_alt 'P 4/m m m'
_space_group_IT_number 123
_space_group_name_Hall '-P 4 2'
_cell_length_a 3.145
_cell_length_b 3.145
_cell_length_c 8.115
_cell_angle_alpha 90.00
_cell_angle_beta 90.00
_cell_angle_gamma 90.00
loop_
_atom_site_label
_atom_site_type_symbol
_atom_site_fract_x
_atom_site_fract_y
_atom_site_fract_z
Ba1 Ba 0.000 0.000 0.000
Os1 Os 0.500 0.500 0.319
W1 W 0.000 0.000 0.500
```

Results
**V**: 20.1 A^3/atom

--- b ---
VASP calculation (GGA-PBE) on a geometry-optimized BaOs2W structure.

```
data_BaOs2W
_chemical_formula_sum 'Ba2 Os4 W2'
_space_group_name_H-M_alt 'C 1 m 1'
_space_group_IT_number 8
_cell_length_a 9.529
_cell_length_b 3.111
_cell_length_c 6.526
_cell_angle_alpha 90.00
_cell_angle_beta 101.79
_cell_angle_gamma 90.00
loop_
_space_group_symop_operation_xyz
'x,y,z'
'x,-y,z'
'x+1/2,y+1/2,z'
'x+1/2,-y+1/2,z'
loop_
_atom_site_label
_atom_site_type_symbol
_atom_site_fract_x
_atom_site_fract_y
_atom_site_fract_z
Ba1 Ba 0.000 0.000 0.000
Os1 Os 0.010 0.500 0.479
Os2 Os 0.219 0.000 0.681
W1 W 0.298 0.500 0.428
```

Results
**V**: 23.7 A^3/atom

--- c ---
VASP calculation (GGA-PBE) on a geometry-optimized BaOs2W structure.

```
data_BaOs2W
_chemical_formula_sum 'Ba1 Os2 W1'
_space_group_name_H-M_alt 'P 1 2/m 1'
_space_group_IT_number 10
_cell_length_a 2.936
_cell_length_b 4.046
_cell_length_c 7.426
_cell_angle_alpha 90.00
_cell_angle_beta 99.64
_cell_angle_gamma 90.00
loop_
_space_group_symop_operation_xyz
'x,y,z'
'-x,-y,-z'
'-x,y,-z'
'x,-y,z'
loop_
_atom_site_label
_atom_site_type_symbol
_atom_site_fract_x
_atom_site_fract_y
_atom_site_fract_z
Ba1 Ba 0.000 0.000 0.000
Os1 Os 0.253 0.500 0.665
W1 W 0.500 0.000 0.500
```

Results
**V**: 21.7 A^3/atom

Stability ranking, top entry: a; the second entry is 231 meV per atom less favorable.

--- a ---
VASP calculation (GGA-PBE) on a geometry-optimized BaOs2W structure.

```
data_BaOs2W
_chemical_formula_sum 'Ba2 Os4 W2'
_space_group_name_H-M_alt 'C 1 2/m 1'
_space_group_IT_number 12
_cell_length_a 8.918
_cell_length_b 3.088
_cell_length_c 6.918
_cell_angle_alpha 90.00
_cell_angle_beta 103.40
_cell_angle_gamma 90.00
loop_
_space_group_symop_operation_xyz
'x,y,z'
'-x,-y,-z'
'-x,y,-z'
'x,-y,z'
'x+1/2,y+1/2,z'
'-x+1/2,-y+1/2,-z'
'-x+1/2,y+1/2,-z'
'x+1/2,-y+1/2,z'
loop_
_atom_site_label
_atom_site_type_symbol
_atom_site_fract_x
_atom_site_fract_y
_atom_site_fract_z
Ba1 Ba 0.000 0.000 0.000
Os1 Os 0.223 0.000 0.641
W1 W 0.000 0.500 0.500
```

Results
**V**: 23.2 A^3/atom

--- b ---
VASP calculation (GGA-PBE) on a geometry-optimized BaOs2W structure.

```
data_BaOs2W
_chemical_formula_sum 'Ba2 Os4 W2'
_space_group_name_H-M_alt 'I m m m'
_space_group_IT_number 71
_space_group_name_Hall '-I 2 2'
_cell_length_a 3.094
_cell_length_b 5.637
_cell_length_c 9.696
_cell_angle_alpha 90.00
_cell_angle_beta 90.00
_cell_angle_gamma 90.00
loop_
_atom_site_label
_atom_site_type_symbol
_atom_site_fract_x
_atom_site_fract_y
_atom_site_fract_z
Ba1 Ba 0.000 0.000 0.000
Os1 Os 0.000 0.500 0.205
W1 W 0.000 0.000 0.500
```

Results
**V**: 21.1 A^3/atom

--- c ---
VASP calculation (GGA-PBE) on a geometry-optimized BaOs2W structure.

```
data_BaOs2W
_chemical_formula_sum 'Ba3 Os6 W3'
_space_group_name_H-M_alt 'R -3 m'
_space_group_IT_number 166
_space_group_name_Hall '-R 3 2"'
_cell_length_a 2.9467
_cell_length_b 2.9467
_cell_length_c 30.3884
_cell_angle_alpha 90.00
_cell_angle_beta 90.00
_cell_angle_gamma 120.00
loop_
_atom_site_label
_atom_site_type_symbol
_atom_site_fract_x
_atom_site_fract_y
_atom_site_fract_z
Ba1 Ba 0.0000 0.0000 0.0000
Os1 Os 0.0000 0.0000 0.2355
W1 W 0.0000 0.0000 0.5000
```

Results
**V**: 19.0 A^3/atom

--- d ---
VASP calculation (GGA-PBE) on a geometry-optimized BaOs2W structure.

```
data_BaOs2W
_chemical_formula_sum 'Ba2 Os4 W2'
_space_group_name_H-M_alt 'C m m m'
_space_group_IT_number 65
_space_group_name_Hall '-C 2 2'
_cell_length_a 6.663
_cell_length_b 7.912
_cell_length_c 2.928
_cell_angle_alpha 90.00
_cell_angle_beta 90.00
_cell_angle_gamma 90.00
loop_
_atom_site_label
_atom_site_type_symbol
_atom_site_fract_x
_atom_site_fract_y
_atom_site_fract_z
Ba1 Ba 0.000 0.000 0.000
Os1 Os 0.250 0.250 0.500
W1 W 0.000 0.500 0.000
```

Results
**V**: 19.3 A^3/atom

Stability ranking, top entry: a; the second entry is 204 meV per atom less favorable.

--- a ---
VASP calculation (GGA-PBE) on a geometry-optimized BaOs3W structure.

```
data_BaOs3W
_chemical_formula_sum 'Ba1 Os3 W1'
_space_group_name_H-M_alt 'P m -3 m'
_space_group_IT_number 221
_space_group_name_Hall '-P 4 2 3'
_cell_length_a 4.867
_cell_length_b 4.867
_cell_length_c 4.867
_cell_angle_alpha 90.00
_cell_angle_beta 90.00
_cell_angle_gamma 90.00
loop_
_atom_site_label
_atom_site_type_symbol
_atom_site_fract_x
_atom_site_fract_y
_atom_site_fract_z
Ba1 Ba 0.000 0.000 0.000
Os1 Os 0.000 0.500 0.500
W1 W 0.500 0.500 0.500
```

Results
**V**: 23.1 A^3/atom

--- b ---
VASP calculation (GGA-PBE) on a geometry-optimized BaOs3W structure.

```
data_BaOs3W
_chemical_formula_sum 'Ba1 Os3 W1'
_space_group_name_H-M_alt 'P m -3 m'
_space_group_IT_number 221
_space_group_name_Hall '-P 4 2 3'
_cell_length_a 4.867
_cell_length_b 4.867
_cell_length_c 4.867
_cell_angle_alpha 90.00
_cell_angle_beta 90.00
_cell_angle_gamma 90.00
loop_
_atom_site_label
_atom_site_type_symbol
_atom_site_fract_x
_atom_site_fract_y
_atom_site_fract_z
Ba1 Ba 0.000 0.000 0.000
Os1 Os 0.000 0.000 0.500
W1 W 0.500 0.500 0.500
```

Results
**V**: 23.1 A^3/atom

Stability ranking, top entry: a; the second entry is 2705 meV per atom less favorable.